# 1
A plane-wave DFT calculation with PBEsol was carried out for crystalline Sc2Se at its relaxed geometry.

Values from the calculation:
energy relative to the elements, uncorrected = -1075 meV/atom
DOS(E_F) = 11.10 states/eV per cell
energy = -6.762 eV per atom

POSCAR file:
```
Sc2Se
1.0
10.4415 0.0000 0.0000
0.0000 3.5081 0.0000
-3.5969 0.0000 6.5298
Sc Se
8 4
Direct
0.0709 0.0000 0.3484
0.1491 0.5000 0.0498
0.3509 0.0000 0.9502
0.4291 0.5000 0.6516
0.5709 0.5000 0.3484
0.6491 0.0000 0.0498
0.8509 0.5000 0.9502
0.9291 0.0000 0.6516
0.1631 0.5000 0.6824
0.3369 0.0000 0.3176
0.6631 0.0000 0.6824
0.8369 0.5000 0.3176
```


# 2
A plane-wave DFT calculation with PBEsol was carried out for crystalline SbMoAs at its relaxed geometry.

Values from the calculation:
energy relative to the elements, uncorrected = 30 meV/atom
DOS(E_F) = 3.38 states/eV per cell
energy = -7.113 eV per atom

POSCAR file:
```
SbMoAs
1.0
3.1392 0.0000 0.0000
0.0000 3.1392 0.0000
0.0000 0.0000 12.0399
Sb Mo As
2 2 2
Direct
0.0000 0.0000 0.0000
0.5000 0.5000 0.5000
0.0000 0.0000 0.3429
0.5000 0.5000 0.8429
0.0000 0.0000 0.7325
0.5000 0.5000 0.2325
```


# 3
A plane-wave DFT calculation with PBEsol was carried out for crystalline Zn2CdIrSe at its relaxed geometry.

Values from the calculation:
energy relative to the elements, uncorrected = 1131 meV/atom
DOS(E_F) = 2.53 states/eV per cell
energy = -2.476 eV per atom

POSCAR file:
```
Zn2CdIrSe
1.0
4.5789 0.0000 0.0000
0.0000 4.5789 0.0000
0.0000 0.0000 5.0212
Zn Cd Ir Se
2 1 1 1
Direct
0.0000 0.5000 0.0000
0.5000 0.0000 0.0000
0.0000 0.0000 0.5000
0.5000 0.5000 0.5000
0.0000 0.0000 0.0000
```


# 4
A plane-wave DFT calculation with PBEsol was carried out for crystalline La2InTc at its relaxed geometry.

Values from the calculation:
DOS(E_F) = 7.12 states/eV per cell
energy = -6.264 eV per atom

POSCAR file:
```
La2InTc
1.0
3.4891 0.0000 0.0000
0.0000 5.1160 0.0000
0.0000 0.0000 11.2273
La In Tc
4 2 2
Direct
0.0000 0.0000 0.0000
0.0000 0.5000 0.1928
0.5000 0.0000 0.6928
0.5000 0.5000 0.5000
0.0000 0.0000 0.3954
0.5000 0.5000 0.8954
0.0000 0.5000 0.7062
0.5000 0.0000 0.2062
```